Fe2MoPt3 | PBE | relaxed

POSCAR file:
```
Fe2MoPt3
1.0
2.750 0.000 0.000
0.000 2.750 0.000
0.000 0.000 11.544
Fe Mo Pt
2 1 3
Cartesian
0.000 0.000 1.861
0.000 0.000 9.683
0.000 0.000 5.772
1.375 1.375 0.000
1.375 1.375 3.769
1.375 1.375 7.776
```

Output
Raw total energy ... -7.91 eV per atom
Energy of formation from the pure elements ... -0.2662 eV per atom
Space-group type ... P4/mmm
D(E_F) ... 3.03 states/eV per cell